# 1
{
  "formula": "DyEr2Cu4Sn2Ge2",
  "functional": "GGA-PBE",
  "state": "relaxed",
  "lattice_angstrom": [[0.928, -0.396, 8.161], [6.363, 3.700, 3.667], [-6.849, 0.457, -4.528]],
  "species": ["Cu", "Cu", "Cu", "Cu", "Dy", "Er", "Er", "Ge", "Ge", "Sn", "Sn"],
  "fractional_positions": [[0.636, 0.323, 0.312], [0.989, 0.677, 0.312], [0.364, 0.677, 0.688], [0.011, 0.323, 0.688], [0.000, 0.000, 0.000], [0.636, 0.136, 0.500], [0.364, 0.864, 0.500], [0.217, 0.217, 0.000], [0.783, 0.783, 0.000], [0.701, 0.500, 0.201], [0.299, 0.500, 0.799]],
  "space_group": "Immm, No. 71",
  "de_polymorph_mev_per_atom": 63
}

# 2
{
  "formula": "DyEr2In3Cu3",
  "functional": "GGA-PBE",
  "state": "relaxed",
  "lattice_angstrom": [[-1.327, -0.512, -3.559], [-7.013, -0.472, 2.683], [2.820, 6.679, -2.012]],
  "species": ["Cu", "Cu", "Cu", "Dy", "Er", "Er", "In", "In", "In"],
  "fractional_positions": [[0.000, 0.001, 0.001], [0.500, 0.667, 0.332], [0.500, 0.332, 0.667], [0.000, 0.592, 0.592], [0.000, 0.000, 0.407], [0.000, 0.407, 0.000], [0.500, 0.742, 0.001], [0.500, 0.258, 0.258], [0.500, 0.001, 0.742]],
  "space_group": "Amm2, No. 38",
  "total_energy_ry_per_atom": -0.3008
}

# 3
{
  "formula": "Dy2ErIn3CuNi2",
  "functional": "GGA-PBE",
  "state": "relaxed",
  "lattice_angstrom": [[-0.108, -3.552, 1.416], [6.005, 1.470, 4.146], [-6.809, 1.291, 2.719]],
  "species": ["Cu", "Dy", "Dy", "Er", "In", "In", "In", "Ni", "Ni"],
  "fractional_positions": [[0.000, 0.000, 0.000], [0.000, 0.587, 0.000], [0.000, 0.000, 0.587], [0.000, 0.413, 0.413], [0.500, 0.258, 0.000], [0.500, 0.000, 0.258], [0.500, 0.741, 0.741], [0.500, 0.666, 0.333], [0.500, 0.333, 0.666]],
  "space_group": "Amm2, No. 38",
  "total_energy_ry_per_atom": -0.3363
}

# 4
{
  "formula": "DyEr2In3CuPt2",
  "functional": "GGA-PBE",
  "state": "relaxed",
  "lattice_angstrom": [[-2.576, -1.213, 2.376], [4.014, -6.528, 1.018], [1.319, 6.109, 4.549]],
  "species": ["Cu", "Dy", "Er", "Er", "In", "In", "In", "Pt", "Pt"],
  "fractional_positions": [[0.000, 0.000, 0.000], [0.000, 0.589, 0.589], [0.000, 0.411, 0.000], [0.000, 0.000, 0.411], [0.500, 0.745, 0.000], [0.500, 0.254, 0.254], [0.500, 0.000, 0.745], [0.500, 0.667, 0.332], [0.500, 0.332, 0.667]],
  "space_group": "Amm2, No. 38",
  "total_energy_ry_per_atom": -0.3703
}

# 5
{
  "formula": "Dy2ErCuSn3Ir2",
  "functional": "GGA-PBE",
  "state": "relaxed",
  "lattice_angstrom": [[3.867, 0.000, 0.000], [0.000, 6.511, 3.768], [0.000, -6.511, 3.768]],
  "species": ["Cu", "Dy", "Dy", "Er", "Ir", "Ir", "Sn", "Sn", "Sn"],
  "fractional_positions": [[0.000, 0.999, 0.999], [0.000, 0.406, 0.000], [0.000, 0.000, 0.406], [0.000, 0.594, 0.594], [0.500, 0.666, 0.335], [0.500, 0.335, 0.666], [0.500, 0.261, 0.261], [0.500, 0.000, 0.739], [0.500, 0.739, 0.000]],
  "space_group": "Amm2, No. 38",
  "total_energy_ry_per_atom": -0.4391
}

# 6
{
  "formula": "Dy3Er2Lu2Cu2Te2",
  "functional": "GGA-PBE",
  "state": "relaxed",
  "lattice_angstrom": [[-0.548, -0.840, 9.203], [-7.907, 0.750, -4.757], [7.306, -4.450, 3.539]],
  "species": ["Cu", "Cu", "Dy", "Dy", "Dy", "Er", "Er", "Lu", "Lu", "Te", "Te"],
  "fractional_positions": [[0.334, 0.068, 0.266], [0.803, 0.068, 0.734], [0.951, 0.581, 0.369], [0.498, 0.998, 0.500], [0.212, 0.581, 0.631], [0.878, 0.734, 0.145], [0.589, 0.734, 0.855], [0.562, 0.377, 0.185], [0.192, 0.377, 0.815], [0.235, 0.235, 0.000], [0.834, 0.334, 0.500]],
  "space_group": "Imm2, No. 44",
  "total_energy_ry_per_atom": -0.3480
}

# 7
{
  "formula": "DyEr2Tm2Lu2Cu2Te2",
  "functional": "GGA-PBE",
  "state": "relaxed",
  "lattice_angstrom": [[4.702, -6.579, -4.369], [-8.470, -1.999, 2.959], [6.207, 3.464, -5.828]],
  "species": ["Cu", "Cu", "Dy", "Er", "Er", "Lu", "Lu", "Te", "Te", "Tm", "Tm"],
  "fractional_positions": [[0.304, 0.068, 0.236], [0.832, 0.068, 0.764], [0.997, 0.997, 0.000], [0.090, 0.735, 0.355], [0.380, 0.735, 0.645], [0.691, 0.377, 0.315], [0.062, 0.377, 0.685], [0.336, 0.336, 0.000], [0.732, 0.232, 0.500], [0.714, 0.582, 0.132], [0.451, 0.582, 0.868]],
  "space_group": "Imm2, No. 44",
  "total_energy_ry_per_atom": -0.3461
}

# 8
{
  "formula": "DyY2Er2Lu2Cu2Te2",
  "functional": "GGA-PBE",
  "state": "relaxed",
  "lattice_angstrom": [[-1.972, 7.674, 4.763], [1.972, -7.674, 4.763], [1.972, 7.674, -4.763]],
  "species": ["Cu", "Cu", "Dy", "Er", "Er", "Lu", "Lu", "Te", "Te", "Y", "Y"],
  "fractional_positions": [[0.648, 0.409, 0.238], [0.171, 0.409, 0.762], [0.479, 0.479, 0.000], [0.024, 0.894, 0.130], [0.764, 0.894, 0.870], [0.414, 0.098, 0.315], [0.783, 0.098, 0.685], [0.140, 0.140, 0.000], [0.743, 0.243, 0.500], [0.095, 0.740, 0.355], [0.385, 0.740, 0.645]],
  "space_group": "Imm2, No. 44",
  "total_energy_ry_per_atom": -0.3734
}